1.
This record from Alexandria via LeMat-Bulk describes a PBEsol-optimized structure of BaAg2Sn2. The functional is SCAN.

Unit cell a=6.6155 b=6.6155 c=6.6155 alpha=137.70 beta=137.70 gamma=61.36
Closest atoms and distances in Å follow each position.
Fractional coordinates of all 5 atoms:
Ba  0.0000  0.0000  0.0000  8 Sn 3.67, 8 Ag 3.71
Ag  0.2500  0.7500  0.5000  4 Sn 2.77
Ag  0.7500  0.2500  0.5000  4 Sn 2.77
Sn  0.3741  0.3741  0.0000  4 Ag 2.77, 1 Sn 2.87
Sn  0.6259  0.6259  0.0000  4 Ag 2.77, 1 Sn 2.87

Output
Space-group type   I4/mmm, No. 139
Density of states at the Fermi level   1.7 states/eV/cell
Calculated formation energy   -43.8 kJ per mole of atoms
Total magnetization   0.00 μB per cell
Electronic total energy   -35.28 eV/atom

---

2.
This record from Alexandria via LeMat-Bulk describes a PBEsol-optimized structure of Ba2SrAg2. The functional is SCAN.

Unit cell a=8.6870 b=8.6870 c=4.7830 alpha=90.00 beta=90.00 gamma=90.00
Closest atoms and distances in Å follow each position.
Fractional coordinates of all 10 atoms:
Ba  0.1684  0.3316  0.0000  6 Ag 3.48-3.54
Ba  0.3316  0.8316  0.0000  6 Ag 3.48-3.54
Ba  0.6684  0.1684  0.0000  6 Ag 3.48-3.54
Ba  0.8316  0.6684  0.0000  6 Ag 3.48-3.54
Sr  0.0000  0.0000  0.5000  4 Ag 3.47
Sr  0.5000  0.5000  0.5000  4 Ag 3.47
Ag  0.1191  0.6191  0.5000  1 Ag 2.93
Ag  0.3809  0.1191  0.5000  1 Ag 2.93
Ag  0.6191  0.8809  0.5000  1 Ag 2.93
Ag  0.8809  0.3809  0.5000  1 Ag 2.93

Output
Space-group type   P4/mbm, No. 127
Density of states at the Fermi level   6.0 states/eV/cell
Calculated formation energy   -22.6 kJ per mole of atoms
Total magnetization   0.00 μB per cell
Electronic total energy   -33.06 eV/atom

---

3.
This record from Alexandria via LeMat-Bulk describes a PBEsol-optimized structure of BaSrAg. The functional is SCAN.

Unit cell a=4.5968 b=4.5968 c=7.3785 alpha=90.00 beta=90.00 gamma=120.00
Closest atoms and distances in Å follow each position.
Fractional coordinates of all 3 atoms:
Ba  0.0000  0.0000  0.0000  3 Ag 3.27
Sr  0.6667  0.3333  0.4892  3 Ag 3.15
Ag  0.3333  0.6667  0.2584  3 Sr 3.15, 3 Ba 3.27

Output
Space-group type   P3m1, No. 156
Density of states at the Fermi level   3.4 states/eV/cell
Calculated formation energy   -12.4 kJ per mole of atoms
Total magnetization   0.00 μB per cell
Distance to the lowest polymorph of the same formula   4.9 kJ/mol of atoms
Electronic total energy   -31.19 eV/atom

---

4.
This record from Alexandria via LeMat-Bulk describes a PBEsol-optimized structure of BaSrAg. The functional is SCAN.

Unit cell a=5.4318 b=5.4318 c=5.4318 alpha=60.00 beta=60.00 gamma=60.00
Closest atoms and distances in Å follow each position.
Fractional coordinates of all 3 atoms:
Ba  0.0000  0.0000  0.0000  4 Ag 3.33, 4 Sr 3.33
Sr  0.2500  0.2500  0.2500  4 Ba 3.33
Ag  0.7500  0.7500  0.7500  4 Ba 3.33

Output
Space-group type   F-43m, No. 216
Density of states at the Fermi level   4.3 states/eV/cell
Calculated formation energy   42.1 kJ per mole of atoms
Total magnetization   0.00 μB per cell
Distance to the lowest polymorph of the same formula   59.4 kJ/mol of atoms
Electronic total energy   -30.63 eV/atom

---

5.
This record from Alexandria via LeMat-Bulk describes a PBEsol-optimized structure of BaSrAg. The functional is SCAN.

Unit cell a=5.5597 b=5.5597 c=5.5597 alpha=60.00 beta=60.00 gamma=60.00
Closest atoms and distances in Å follow each position.
Fractional coordinates of all 3 atoms:
Ba  0.0000  0.0000  0.0000  4 Ag 3.40
Sr  0.5000  0.5000  0.5000  4 Ag 3.40
Ag  0.2500  0.2500  0.2500  4 Sr 3.40, 4 Ba 3.40

Output
Space-group type   F-43m, No. 216
Density of states at the Fermi level   3.5 states/eV/cell
Calculated formation energy   -12.6 kJ per mole of atoms
Total magnetization   0.00 μB per cell
Distance to the lowest polymorph of the same formula   4.7 kJ/mol of atoms
Electronic total energy   -31.19 eV/atom

---

6.
This record from Alexandria via LeMat-Bulk describes a PBEsol-optimized structure of Ba3SrAg4. The functional is SCAN.

Unit cell a=6.4702 b=4.8260 c=8.5074 alpha=90.00 beta=90.72 gamma=90.00
Closest atoms and distances in Å follow each position.
Fractional coordinates of all 8 atoms:
Ba  0.0000  0.0000  0.0000  7 Ag 3.43-3.53
Ba  0.2412  0.0000  0.4961  7 Ag 3.37-3.51
Ba  0.4997  0.5000  0.8577  7 Ag 3.38-3.60
Sr  0.7407  0.5000  0.3575  7 Ag 3.31-3.60
Ag  0.2620  0.5000  0.2148  2 Ag 2.90
Ag  0.4943  0.0000  0.1513  2 Ag 2.90
Ag  0.7550  0.0000  0.6348  2 Ag 2.87
Ag  0.9786  0.5000  0.7037  2 Ag 2.87

Output
Space-group type   Pm, No. 6
Density of states at the Fermi level   4.8 states/eV/cell
Calculated formation energy   -27.5 kJ per mole of atoms
Total magnetization   0.00 μB per cell
Electronic total energy   -33.58 eV/atom

---

Copy entry 3 word for word.
This record from Alexandria via LeMat-Bulk describes a PBEsol-optimized structure of BaSrAg. The functional is SCAN.

Unit cell a=4.5968 b=4.5968 c=7.3785 alpha=90.00 beta=90.00 gamma=120.00
Closest atoms and distances in Å follow each position.
Fractional coordinates of all 3 atoms:
Ba  0.0000  0.0000  0.0000  3 Ag 3.27
Sr  0.6667  0.3333  0.4892  3 Ag 3.15
Ag  0.3333  0.6667  0.2584  3 Sr 3.15, 3 Ba 3.27

Output
Space-group type   P3m1, No. 156
Density of states at the Fermi level   3.4 states/eV/cell
Calculated formation energy   -12.4 kJ per mole of atoms
Total magnetization   0.00 μB per cell
Distance to the lowest polymorph of the same formula   4.9 kJ/mol of atoms
Electronic total energy   -31.19 eV/atom